# 1
Density functional theory data (PBE) for KOs after structural relaxation.

Calculated values
energy of formation from the pure elements = 1080.0 meV per atom
V = 301.88 Å³/cell
E above lowest polymorph = 381.7 meV/atom

a b c (Å): 12.6630 2.7908 9.1920
angles (deg): 90.00 111.67 90.00
Space group Cm (No. 8)
Asymmetric unit:
K1 0.0000 0.0000 0.0000 [2 per cell]
K2 0.0186 0.0000 0.3882 [2 per cell]
K3 0.1803 0.5000 0.7605 [2 per cell]
Os1 0.2553 0.5000 0.3473 [2 per cell]
Os2 0.2777 0.0000 0.1351 [2 per cell]
Os3 0.3573 0.0000 0.5832 [2 per cell]

***

# 2
Density functional theory data (PBE) for ErThTlHg after structural relaxation.

Calculated values
energy of formation from the pure elements = -248.2 meV per atom
V = 441.19 Å³/cell

a b c (Å): 7.6127 7.6127 7.6127
angles (deg): 90.00 90.00 90.00
Space group F-43m (No. 216)
Asymmetric unit:
Er1 0.0000 0.0000 0.0000 [4 per cell]
Th1 0.0000 0.0000 0.5000 [4 per cell]
Tl1 0.2500 0.2500 0.2500 [4 per cell]
Hg1 0.2500 0.2500 0.7500 [4 per cell]